Compound: NaYGePd
Source: OQMD via LeMat-Bulk
Functional: PBE
Structure: optimized geometry

a = 4.759 Å, b = 4.759 Å, c = 4.759 Å
α = 60.00°, β = 60.00°, γ = 60.00°
Atoms (fractional coordinates):
Ge 0.500 0.500 0.500
Na 0.750 0.750 0.750
Pd 0.250 0.250 0.250
Y 0.000 0.000 0.000

The energy above the most stable polymorph in this dataset comes out at 0.000 eV/atom. The value obtained for the final energy is -19.52 eV per cell. As for the volume: 19.054 A^3/atom.